Entry 1:
# Y2AlCu, optimized geometry, DFT PBE-GGA
# energy relative to the elements	-0.17	eV/f.u.
# crystal system	orthorhombic
data_Y2AlCu
_space_group_name_H-M_alt 'P m m 2'
_space_group_IT_number 25
_space_group_name_Hall 'P 2 -2'
_cell_length_a 3.583
_cell_length_b 4.463
_cell_length_c 6.064
_cell_angle_alpha 90.00
_cell_angle_beta 90.00
_cell_angle_gamma 90.00
loop_
_atom_site_label
_atom_site_type_symbol
_atom_site_fract_x
_atom_site_fract_y
_atom_site_fract_z
_atom_site_occupancy
Y1 Y 0.000 0.000 0.000 1
Y2 Y 0.500 0.500 0.358 1
Al1 Al 0.000 0.000 0.508 1
Cu1 Cu 0.500 0.500 0.840 1



Entry 2:
# Dy5Ho3Sc, optimized geometry, DFT PBE-GGA
# energy relative to the elements	5.39	eV/f.u.
# crystal system	monoclinic
data_Dy5Ho3Sc
_space_group_name_H-M_alt 'C 1 2/m 1'
_space_group_IT_number 12
_space_group_name_Hall '-C 2y'
_cell_length_a 12.027
_cell_length_b 11.129
_cell_length_c 11.406
_cell_angle_alpha 90.00
_cell_angle_beta 119.79
_cell_angle_gamma 90.00
loop_
_atom_site_label
_atom_site_type_symbol
_atom_site_fract_x
_atom_site_fract_y
_atom_site_fract_z
_atom_site_occupancy
Dy1 Dy 0.000 0.217 0.000 1
Dy2 Dy 0.007 0.000 0.373 1
Dy3 Dy 0.175 0.244 0.799 1
Dy4 Dy 0.178 0.000 0.955 1
Ho1 Ho 0.000 0.500 0.000 1
Ho2 Ho 0.000 0.500 0.500 1
Ho3 Ho 0.181 0.000 0.241 1
Ho4 Ho 0.218 0.500 0.343 1
Sc1 Sc 0.069 0.500 0.790 1



Entry 3:
# Pr2Nd3Dy5, optimized geometry, DFT PBE-GGA
# energy relative to the elements	0.62	eV/f.u.
# crystal system	triclinic
data_Pr2Nd3Dy5
_space_group_name_H-M_alt 'P -1'
_space_group_IT_number 2
_space_group_name_Hall '-P 1'
_cell_length_a 6.648
_cell_length_b 9.918
_cell_length_c 11.694
_cell_angle_alpha 113.73
_cell_angle_beta 104.66
_cell_angle_gamma 90.36
loop_
_atom_site_label
_atom_site_type_symbol
_atom_site_fract_x
_atom_site_fract_y
_atom_site_fract_z
_atom_site_occupancy
Pr1 Pr 0.076 0.228 0.272 1
Pr2 Pr 0.396 0.972 0.699 1
Nd1 Nd 0.109 0.903 0.331 1
Nd2 Nd 0.247 0.105 0.991 1
Nd3 Nd 0.415 0.616 0.698 1
Dy1 Dy 0.055 0.618 0.428 1
Dy2 Dy 0.175 0.509 0.142 1
Dy3 Dy 0.256 0.757 0.011 1
Dy4 Dy 0.320 0.379 0.853 1
Dy5 Dy 0.437 0.242 0.562 1



Entry 4:
# CeTlPb, optimized geometry, DFT PBE-GGA
# energy relative to the elements	-0.63	eV/f.u.
# crystal system	trigonal
data_CeTlPb
_space_group_name_H-M_alt 'P 3 m 1'
_space_group_IT_number 156
_space_group_name_Hall 'P 3 -2"'
_cell_length_a 4.9624
_cell_length_b 4.9624
_cell_length_c 4.3497
_cell_angle_alpha 90.00
_cell_angle_beta 90.00
_cell_angle_gamma 120.00
loop_
_atom_site_label
_atom_site_type_symbol
_atom_site_fract_x
_atom_site_fract_y
_atom_site_fract_z
_atom_site_occupancy
Ce1 Ce 0.0000 0.0000 0.0000 1
Tl1 Tl 0.6667 0.3333 0.6606 1
Pb1 Pb 0.3333 0.6667 0.3774 1



Entry 5:
# La7Nd2Ho, optimized geometry, DFT PBE-GGA
# energy relative to the elements	5.55	eV/f.u.
# crystal system	orthorhombic
data_La7Nd2Ho
_space_group_name_H-M_alt 'C m m m'
_space_group_IT_number 65
_space_group_name_Hall '-C 2 2'
_cell_length_a 9.001
_cell_length_b 16.364
_cell_length_c 5.623
_cell_angle_alpha 90.00
_cell_angle_beta 90.00
_cell_angle_gamma 90.00
loop_
_atom_site_label
_atom_site_type_symbol
_atom_site_fract_x
_atom_site_fract_y
_atom_site_fract_z
_atom_site_occupancy
La1 La 0.000 0.000 0.000 1
La2 La 0.000 0.261 0.500 1
La3 La 0.187 0.387 0.000 1
Nd1 Nd 0.000 0.201 0.000 1
Ho1 Ho 0.000 0.500 0.500 1



Entry 6:
# RbY4Ga3O12, optimized geometry, DFT PBE-GGA
# raw formation energy	-2.372	eV per atom
# crystal system	cubic
data_RbY4Ga3O12
_space_group_name_H-M_alt 'I m -3'
_space_group_IT_number 204
_space_group_name_Hall '-I 2 2 3'
_cell_length_a 8.259
_cell_length_b 8.259
_cell_length_c 8.259
_cell_angle_alpha 90.00
_cell_angle_beta 90.00
_cell_angle_gamma 90.00
loop_
_atom_site_label
_atom_site_type_symbol
_atom_site_fract_x
_atom_site_fract_y
_atom_site_fract_z
_atom_site_occupancy
Rb1 Rb 0.000 0.000 0.000 1
Y1 Y 0.250 0.250 0.250 1
Ga1 Ga 0.000 0.000 0.500 1
O1 O 0.000 0.160 0.332 1



Please write out number 4 again, unchanged.
# CeTlPb, optimized geometry, DFT PBE-GGA
# energy relative to the elements	-0.63	eV/f.u.
# crystal system	trigonal
data_CeTlPb
_space_group_name_H-M_alt 'P 3 m 1'
_space_group_IT_number 156
_space_group_name_Hall 'P 3 -2"'
_cell_length_a 4.9624
_cell_length_b 4.9624
_cell_length_c 4.3497
_cell_angle_alpha 90.00
_cell_angle_beta 90.00
_cell_angle_gamma 120.00
loop_
_atom_site_label
_atom_site_type_symbol
_atom_site_fract_x
_atom_site_fract_y
_atom_site_fract_z
_atom_site_occupancy
Ce1 Ce 0.0000 0.0000 0.0000 1
Tl1 Tl 0.6667 0.3333 0.6606 1
Pb1 Pb 0.3333 0.6667 0.3774 1